## ThCoSnRu (PBE)

Data for an optimized crystal structure of ThCoSnRu.

```
ThCoSnRu
1.0
-3.220 0.102 3.515
1.408 -0.417 4.536
-0.222 3.762 2.921
Sn Co Ru Th
1 1 1 1
Cartesian
0.000 0.000 0.000
-0.509 0.862 2.743
-1.526 2.585 8.229
-1.017 1.724 5.486
```

## Properties
* uncorrected energy: -28.86 eV/f.u.
* energy relative to the elements: -25.4 kJ/mol of atoms
* calculated volume: 76.6 Å³/cell
* space-group type: F-43m, No. 216